Run 1
Density functional theory data (GGA-PBE) for Rb3TlAu after structural relaxation.

Properties
D(E_F) ... 0.4954 states/eV/atom
V ... 51.1 Å³/atom

a = 10.3641 Å, b = 7.1286 Å, c = 14.0955 Å
α = 90.00°, β = 100.90°, γ = 90.00°
Closest atoms and distances in Å follow each position.
Space group P2_1/c (No. 14)
Asymmetric unit:
1 Rb 0.0269 0.1210 0.3425 x4  2 Au 3.58-3.73, 3 Tl 3.81-3.92
2 Rb 0.3086 0.7228 0.4739 x4  2 Au 3.65-3.70, 1 Tl 3.80
3 Rb 0.3773 0.1335 0.7245 x4  3 Au 3.58-3.84, 1 Tl 3.75
4 Tl 0.0888 0.1119 0.0808 x4  1 Au 2.95, 1 Tl 3.09
5 Au 0.2712 0.6166 0.7205 x4  1 Tl 2.95



Run 2
Density functional theory data (GGA-PBE) for Rb3TlAu after structural relaxation.

Properties
D(E_F) ... 0.7338 states/eV/atom
V ... 57.8 Å³/atom

a = 6.6111 Å, b = 6.6111 Å, c = 6.6111 Å
α = 90.00°, β = 90.00°, γ = 90.00°
Closest atoms and distances in Å follow each position.
Space group Pm-3m (No. 221)
Asymmetric unit:
1 Rb 0.0000 0.0000 0.5000 x3  2 Au 3.31
2 Tl 0.5000 0.5000 0.5000 x1  12 Rb 4.67
3 Au 0.0000 0.0000 0.0000 x1  6 Rb 3.31



Run 3
Density functional theory data (GGA-PBE) for Rb3TlAu after structural relaxation.

Properties
D(E_F) ... 0.5718 states/eV/atom
V ... 50.4 Å³/atom

a = 13.3146 Å, b = 11.0436 Å, c = 9.1615 Å
α = 90.00°, β = 131.62°, γ = 90.00°
Closest atoms and distances in Å follow each position.
Space group C2/m (No. 12)
Asymmetric unit:
1 Rb 0.0606 0.0000 0.3485 x4  2 Au 3.53-3.73, 1 Tl 3.77
2 Rb 0.2203 0.3064 0.7656 x8  2 Au 3.49-3.84
3 Tl 0.0626 0.5000 0.2419 x4  2 Au 2.88-2.99
4 Au 0.2164 0.5000 0.1096 x4  2 Tl 2.88-2.99



Stability, lowest: run 2



Run 1
Density functional theory data (GGA-PBE) for Rb2Tl2Au after structural relaxation.

Properties
D(E_F) ... 0.7915 states/eV/atom
V ... 48.3 Å³/atom

a = 8.9784 Å, b = 8.9784 Å, c = 5.9928 Å
α = 90.00°, β = 90.00°, γ = 90.00°
Closest atoms and distances in Å follow each position.
Space group P4/mbm (No. 127)
Asymmetric unit:
1 Rb 0.1779 0.3221 0.0000 x4  2 Au 3.30
2 Tl 0.1258 0.6258 0.5000 x4  1 Tl 3.19
3 Au 0.0000 0.0000 0.0000 x2  4 Rb 3.30



Run 2
Density functional theory data (GGA-PBE) for Rb2Tl2Au after structural relaxation.

Properties
D(E_F) ... 0.5702 states/eV/atom
V ... 39.5 Å³/atom

a = 13.5638 Å, b = 4.9433 Å, c = 13.1511 Å
α = 90.00°, β = 116.23°, γ = 90.00°
Closest atoms and distances in Å follow each position.
Space group C2/m (No. 12)
Asymmetric unit:
1 Rb 0.0144 0.0000 0.1615 x4  3 Au 3.71-4.02, 7 Tl 3.87-4.04, 1 Rb 4.09
2 Rb 0.2058 0.0000 0.6244 x4  2 Au 3.76, 6 Tl 3.77-3.96
3 Tl 0.0092 0.5000 0.3858 x4  1 Au 2.89, 1 Tl 3.12
4 Tl 0.1883 0.5000 0.0580 x4  3 Au 2.99-3.00
5 Au 0.1857 0.5000 0.8293 x4  4 Tl 2.89-3.00



Stability, lowest: run 1



Run 1
Density functional theory data (GGA-PBE) for Rb2Tl2Au after structural relaxation.

Properties
D(E_F) ... 0.8409 states/eV/atom
V ... 37.7 Å³/atom

a = 7.7905 Å, b = 7.7905 Å, c = 6.2100 Å
α = 90.00°, β = 90.00°, γ = 90.00°
Closest atoms and distances in Å follow each position.
Space group P4/mbm (No. 127)
Asymmetric unit:
1 Rb 0.1840 0.3160 0.0000 x4  6 Tl 3.67-4.01, 5 Rb 4.03-4.05
2 Tl 0.1392 0.6392 0.5000 x4  2 Au 3.01, 1 Tl 3.07
3 Au 0.0000 0.0000 0.5000 x2  4 Tl 3.01



Run 2
Density functional theory data (GGA-PBE) for Rb2Tl2Au after structural relaxation.

Properties
D(E_F) ... 0.7102 states/eV/atom
V ... 44.7 Å³/atom

a = 5.3371 Å, b = 5.3371 Å, c = 15.6934 Å
α = 90.00°, β = 90.00°, γ = 90.00°
Closest atoms and distances in Å follow each position.
Space group I4/mmm (No. 139)
Asymmetric unit:
1 Rb 0.0000 0.5000 0.2500 x4  4 Tl 3.67, 4 Rb 3.77
2 Tl 0.0000 0.0000 0.0898 x4  1 Tl 2.82
3 Au 0.0000 0.0000 0.5000 x2  8 Tl 4.03



Stability, lowest: run 2



Run 1
Density functional theory data (GGA-PBE) for RbTl2ZnAu after structural relaxation.

Properties
D(E_F) ... 0.6468 states/eV/atom
V ... 33.6 Å³/atom

a = 5.7149 Å, b = 5.7149 Å, c = 5.1442 Å
α = 90.00°, β = 90.00°, γ = 90.00°
Closest atoms and distances in Å follow each position.
Space group P4/mmm (No. 123)
Asymmetric unit:
1 Rb 0.0000 0.0000 0.0000 x1  8 Tl 3.84, 4 Zn 4.04
2 Tl 0.0000 0.5000 0.5000 x2  2 Au 2.86
3 Zn 0.5000 0.5000 0.0000 x1  2 Au 2.57
4 Au 0.5000 0.5000 0.5000 x1  2 Zn 2.57, 4 Tl 2.86



Run 2
Density functional theory data (GGA-PBE) for RbTl2ZnAu after structural relaxation.

Properties
D(E_F) ... 0.5466 states/eV/atom
V ... 31.5 Å³/atom

a = 5.5020 Å, b = 5.5020 Å, c = 5.2012 Å
α = 90.00°, β = 90.00°, γ = 90.00°
Closest atoms and distances in Å follow each position.
Space group P4/mmm (No. 123)
Asymmetric unit:
1 Rb 0.0000 0.0000 0.0000 x1  8 Tl 3.79, 4 Au 3.89
2 Tl 0.0000 0.5000 0.5000 x2  2 Zn 2.75
3 Zn 0.5000 0.5000 0.5000 x1  2 Au 2.60, 4 Tl 2.75
4 Au 0.5000 0.5000 0.0000 x1  2 Zn 2.60



Stability, lowest: run 1